No. 1
Material: GeIrN2F
Method: DFT, PBE
State: optimized geometry

Results
Symmetry = P4/mmm (123)
Energy relative to the elements, uncorrected = 493 meV per atom

a b c (Å): 3.7258 3.7258 5.6362
angles (deg): 90.00 90.00 90.00
Closest atoms and distances in Å follow each position.
Sites, in units of the cell vectors:
N 0.0000 0.5000 0.0000  2 Ir 1.86
N 0.5000 0.0000 0.0000  2 Ir 1.86
Ge 0.5000 0.5000 0.5000  4 F 2.63
Ir 0.0000 0.0000 0.0000  4 N 1.86
F 0.0000 0.0000 0.5000  4 Ge 2.63, 2 Ir 2.82



No. 2
Material: GeIrNF2
Method: DFT, PBE
State: optimized geometry

Results
Symmetry = P4/mmm (123)
Energy relative to the elements, uncorrected = -118 meV per atom

a b c (Å): 4.4955 4.4955 3.6888
angles (deg): 90.00 90.00 90.00
Closest atoms and distances in Å follow each position.
Sites, in units of the cell vectors:
N 0.0000 0.0000 0.5000  2 Ir 1.84
Ge 0.5000 0.5000 0.5000  8 F 2.91, 4 N 3.18
Ir 0.0000 0.0000 0.0000  2 N 1.84
F 0.0000 0.5000 0.0000  2 Ir 2.25
F 0.5000 0.0000 0.0000  2 Ir 2.25



No. 3
Material: GeIrNF2
Method: DFT, PBE
State: optimized geometry

Results
Symmetry = P4/mmm (123)
Energy relative to the elements, uncorrected = 395 meV per atom

a b c (Å): 3.8841 3.8841 4.1619
angles (deg): 90.00 90.00 90.00
Closest atoms and distances in Å follow each position.
Sites, in units of the cell vectors:
N 0.0000 0.0000 0.5000  2 Ge 2.08
Ge 0.0000 0.0000 0.0000  4 F 1.94, 2 N 2.08
Ir 0.5000 0.5000 0.5000  4 N 2.75, 8 F 2.85
F 0.0000 0.5000 0.0000  2 Ge 1.94
F 0.5000 0.0000 0.0000  2 Ge 1.94



Number 1: D(E_F) 1.9 states/eV per cell. Number 2: D(E_F) 3.3 states/eV per cell. Number 3: D(E_F) 5.2 states/eV per cell.